First-principles (PBE-GGA) data for an optimized crystal structure of ThPaSb2, as listed in the Alexandria database.

abc: 3.7853 3.7853 7.5916
angles: 90.00 90.00 90.00
Space group P4/mmm (No. 123)
Inequivalent atoms, fractional coordinates:
Th 0.0000 0.0000 0.0000 [1 per cell]
Pa 0.0000 0.0000 0.5000 [1 per cell]
Sb 0.5000 0.5000 0.2622 [2 per cell]

uncorrected energy = -6.9208 eV per atom
energy relative to the elements, uncorrected = -631 meV/atom
polymorph energy (0 for the lowest one) = 0.035 eV/atom
spin magnetization = 0.4 μB per cell
N(E_F) = 1.288 states/eV/atom

***

First-principles (PBE-GGA) data for an optimized crystal structure of AcY10Ho4, as listed in the Alexandria database.

abc: 12.8281 12.8281 6.6394
angles: 90.00 90.00 90.00
Space group I4/m (No. 87)
Inequivalent atoms, fractional coordinates:
Ac 0.0000 0.0000 0.0000 [2 per cell]
Y 0.0000 0.5000 0.2500 [4 per cell]
Y 0.1291 0.7085 0.2499 [16 per cell]
Ho 0.0668 0.1757 0.5000 [8 per cell]

uncorrected energy = -5.2661 eV per atom
spin magnetization = 0.1 μB per cell
N(E_F) = 2.088 states/eV/atom

***

First-principles (PBE-GGA) data for an optimized crystal structure of AlAs2HBr, as listed in the Alexandria database.

abc: 3.9501 3.9501 6.5247
angles: 90.00 90.00 90.00
Space group P4/mmm (No. 123)
Inequivalent atoms, fractional coordinates:
Al 0.0000 0.0000 0.0000 [1 per cell]
As 0.0000 0.5000 0.5000 [2 per cell]
H 0.5000 0.5000 0.5000 [1 per cell]
Br 0.5000 0.5000 0.0000 [1 per cell]

uncorrected energy = -3.1441 eV per atom
polymorph energy (0 for the lowest one) = 0.000 eV/atom
spin magnetization = 0.0 μB per cell
N(E_F) = 0.882 states/eV/atom

***

First-principles (PBE-GGA) data for an optimized crystal structure of TbEr8Th6, as listed in the Alexandria database.

abc: 8.8103 8.8103 21.2233
angles: 90.00 90.00 120.00
Space group R-3 (No. 148, hexagonal axes)
Inequivalent atoms, fractional coordinates:
Tb 0.0000 0.0000 0.0000 [3 per cell]
Er 0.0000 0.0000 0.4206 [6 per cell]
Er 0.0625 0.2539 0.1339 [18 per cell]
Th 0.0257 0.7819 0.7090 [18 per cell]

uncorrected energy = -5.5572 eV per atom
spin magnetization = 0.0 μB per cell
N(E_F) = 1.762 states/eV/atom

***

First-principles (PBE-GGA) data for an optimized crystal structure of NaSb2As2, as listed in the Alexandria database.

abc: 8.2811 8.2811 3.8537
angles: 90.00 90.00 90.00
Space group P4/mbm (No. 127)
Inequivalent atoms, fractional coordinates:
Na 0.0000 0.0000 0.0000 [2 per cell]
Sb 0.1703 0.3297 0.5000 [4 per cell]
As 0.1690 0.6690 0.0000 [4 per cell]

uncorrected energy = -3.7677 eV per atom
energy relative to the elements, uncorrected = 5 meV/atom
polymorph energy (0 for the lowest one) = 0.032 eV/atom
spin magnetization = 0.0 μB per cell
N(E_F) = 0.459 states/eV/atom

***

First-principles (PBE-GGA) data for an optimized crystal structure of KReCl2, as listed in the Alexandria database.

abc: 3.1456 3.1456 8.9627
angles: 90.00 90.00 90.00
Space group P4mm (No. 99)
Inequivalent atoms, fractional coordinates:
K 0.0000 0.0000 0.0000 [1 per cell]
Re 0.5000 0.5000 0.3436 [1 per cell]
Cl 0.0000 0.0000 0.4573 [1 per cell]
Cl 0.5000 0.5000 0.7862 [1 per cell]

uncorrected energy = -3.9953 eV per atom
energy relative to the elements, uncorrected = 314 meV/atom
polymorph energy (0 for the lowest one) = 0.396 eV/atom
spin magnetization = 0.0 μB per cell
N(E_F) = 0.764 states/eV/atom

***

First-principles (PBE-GGA) data for an optimized crystal structure of PuZr3Ru4, as listed in the Alexandria database.

abc: 3.2846 4.6569 9.4350
angles: 90.00 90.00 90.00
Space group Pmmm (No. 47)
Inequivalent atoms, fractional coordinates:
Pu 0.0000 0.0000 0.0000 [1 per cell]
Zr 0.0000 0.0000 0.5000 [1 per cell]
Zr 0.0000 0.5000 0.2539 [2 per cell]
Ru 0.5000 0.0000 0.2592 [2 per cell]
Ru 0.5000 0.5000 0.0000 [1 per cell]
Ru 0.5000 0.5000 0.5000 [1 per cell]

uncorrected energy = -10.1093 eV per atom
spin magnetization = 4.7 μB per cell
N(E_F) = 1.180 states/eV/atom

***

First-principles (PBE-GGA) data for an optimized crystal structure of LiTcH2Ru, as listed in the Alexandria database.

abc: 3.3276 3.3276 4.4297
angles: 90.00 90.00 90.00
Space group P4/mmm (No. 123)
Inequivalent atoms, fractional coordinates:
Li 0.0000 0.0000 0.0000 [1 per cell]
Tc 0.0000 0.0000 0.5000 [1 per cell]
H 0.0000 0.5000 0.5000 [2 per cell]
Ru 0.5000 0.5000 0.0000 [1 per cell]

uncorrected energy = -4.7761 eV per atom
spin magnetization = 0.0 μB per cell
N(E_F) = 0.861 states/eV/atom

***

Which of these has the highest N(E_F)?
AcY10Ho4

***

What is the spin magnetization in the fifth record?
0.0 μB per cell